# 1
Below is crystalline Pr3Ho2Tm at its relaxed geometry, with properties calculated at the PBE level.

Geometry as extended XYZ:
```
12
Lattice="-2.8173 -2.1574 0.2773 2.2025 -5.3334 3.7266 -4.7060 5.2903 16.1910" Properties=species:S:1:pos:R:3 pbc="T T T"
Pr -4.0283 4.0698 13.5801
Pr -1.2925 -6.2702 6.6147
Pr -0.1912 -5.2281 3.0678
Pr -5.1296 3.0277 17.1270
Pr -3.2873 -2.6990 14.1337
Pr -2.0336 0.4985 6.0612
Ho -4.9641 -0.2956 15.7951
Ho -0.3567 -1.9048 4.3998
Ho -3.6107 0.0200 9.1584
Ho -1.7101 -2.2205 11.0365
Tm -3.6257 0.4870 12.6398
Tm -1.6952 -2.6875 7.5551
```

* spin magnetization: 0.00 μB per atom
* DFT formation energy: 0.11 eV per atom
* calculated volume: 409.9 Å³/cell


# 2
Below is crystalline LaCe2Tc at its relaxed geometry, with properties calculated at the PBE level.

Geometry as extended XYZ:
```
4
Lattice="3.4591 0.0000 0.0000 0.0000 3.4591 0.0000 0.0000 0.0000 8.4511" Properties=species:S:1:pos:R:3 pbc="T T T"
Tc 1.7295 1.7295 0.0000
Ce 0.0000 0.0000 6.7384
Ce 0.0000 0.0000 1.7127
La 1.7295 1.7295 4.2255
```

* spin magnetization: 0.00 μB per atom
* DFT formation energy: 0.02 eV per atom
* calculated volume: 101.1 Å³/cell


# 3
Below is crystalline Cr2ReP at its relaxed geometry, with properties calculated at the PBE level.

Geometry as extended XYZ:
```
4
Lattice="4.7573 0.0068 0.0000 2.1505 4.2435 0.0000 -3.4539 -2.1252 2.4872" Properties=species:S:1:pos:R:3 pbc="T T T"
Cr 0.0000 0.0000 0.0000
Cr 1.0752 2.1218 1.2436
P 3.4539 2.1252 0.0000
Re 2.3787 0.0034 1.2436
```

* spin magnetization: 0.21 μB per atom
* DFT formation energy: 0.04 eV per atom
* calculated volume: 50.2 Å³/cell


# 4
Below is crystalline V4Ga2Rh at its relaxed geometry, with properties calculated at the PBE level.

Geometry as extended XYZ:
```
7
Lattice="-1.5138 -3.8952 -1.8266 -0.5579 -1.7423 4.1778 -7.1847 -0.4979 1.3224" Properties=species:S:1:pos:R:3 pbc="T T T"
Rh 0.0000 0.0000 0.0000
Ga -2.5184 -2.2592 1.2110
Ga -6.7381 -3.8762 2.4626
V -4.9267 -1.3502 1.2685
V -4.3298 -4.7852 2.4051
V -0.2790 -0.8711 2.0889
V -0.7569 -1.9476 -0.9133
```

* spin magnetization: 0.30 μB per atom
* DFT formation energy: 0.77 eV per atom
* calculated volume: 136.7 Å³/cell


# 5
Below is crystalline Pr2AgH at its relaxed geometry, with properties calculated at the PBE level.

Geometry as extended XYZ:
```
4
Lattice="3.8200 0.0000 0.0000 1.9100 3.3082 0.0000 1.9100 1.1027 7.5255" Properties=species:S:1:pos:R:3 pbc="T T T"
Pr 1.9100 1.1027 1.4461
Pr 5.7300 3.3082 6.0794
H 0.0000 0.0000 0.0000
Ag 3.8200 2.2055 3.7628
```

* spin magnetization: 0.00 μB per atom
* calculated volume: 95.1 Å³/cell
* E_tot: -4.095 eV per atom


# 6
Below is crystalline Ac4InOs at its relaxed geometry, with properties calculated at the PBE level.

Geometry as extended XYZ:
```
12
Lattice="-0.6273 -5.6131 -4.8314 -3.4546 -3.1521 6.7920 -5.1345 7.2003 -3.3223" Properties=species:S:1:pos:R:3 pbc="T T T"
Ac -6.4203 -0.4105 3.0988
Ac -3.2349 -2.1940 5.0828
Ac -3.5436 0.7142 0.0780
Ac -7.5498 1.7547 -0.2853
Ac -2.7961 -1.1544 -4.4605
Ac -5.6728 -2.2791 -1.4396
Ac -5.9815 0.6291 -6.4444
Ac -1.6667 -3.3196 -1.0763
In -3.6000 -2.3055 1.6281
In -5.6164 0.7406 -2.9898
Os -1.6438 -3.7491 -4.0065
Os -7.5726 2.1842 2.6449
```

* spin magnetization: 0.00 μB per atom
* DFT formation energy: -0.11 eV per atom
* calculated volume: 482.7 Å³/cell


# 7
Below is crystalline LaY2Zr at its relaxed geometry, with properties calculated at the PBE level.

Geometry as extended XYZ:
```
4
Lattice="6.0420 -0.0212 -0.0169 1.9559 5.7167 0.0169 -3.9870 -2.8645 3.5220" Properties=species:S:1:pos:R:3 pbc="T T T"
La 0.9839 2.8500 1.7695
Y 7.9969 5.6948 0.0000
Y 3.9999 2.8485 0.0000
Zr 3.0270 -0.0190 1.7525
```

* spin magnetization: 0.00 μB per atom
* DFT formation energy: 0.13 eV per atom
* calculated volume: 121.8 Å³/cell


# 8
Below is crystalline Na3Dy3PaTe8 at its relaxed geometry, with properties calculated at the PBE level.

Geometry as extended XYZ:
```
15
Lattice="8.8350 0.0000 0.0000 -4.4175 7.6501 -0.0302 0.0000 -5.0736 7.6213" Properties=species:S:1:pos:R:3 pbc="T T T"
Na 0.0000 0.0000 0.0000
Na -2.2088 3.8250 -0.0151
Na 2.2088 3.8250 -0.0151
Dy 4.4175 -2.5368 3.8107
Dy 2.2088 1.2882 3.7956
Dy -2.2088 1.2882 3.7956
Pa 0.0000 -2.5368 3.8107
Te 0.0000 2.5566 2.0249
Te 4.4175 0.0199 5.5662
Te 4.4175 2.5425 2.0340
Te 0.0000 0.0340 5.5571
Te 6.6142 -1.2615 2.0490
Te -2.1966 3.8380 5.5421
Te 2.2209 -1.2615 2.0490
Te 2.1966 3.8380 5.5421
```

* spin magnetization: 0.07 μB per atom
* raw formation energy: -1.205 eV per atom
* calculated volume: 513.8 Å³/cell


# 9
Below is crystalline GaBr at its relaxed geometry, with properties calculated at the PBE level.

Geometry as extended XYZ:
```
8
Lattice="-4.2141 0.1021 7.8590 2.7990 -2.5937 1.5345 4.7575 5.3086 0.2951" Properties=species:S:1:pos:R:3 pbc="T T T"
Ga -0.7889 2.0209 4.8547
Ga 1.3323 3.3898 3.2995
Ga 2.9893 3.3783 5.7695
Ga 0.3530 -0.5614 3.9192
Br 3.3714 4.8315 2.0171
Br -2.8280 0.5791 6.1371
Br 2.3921 0.8804 2.6368
Br 0.9503 1.9366 7.0519
```

* spin magnetization: 0.00 μB per atom
* raw formation energy: -0.526 eV per atom
* calculated volume: 252.0 Å³/cell


# 10
Below is crystalline Sn4N at its relaxed geometry, with properties calculated at the PBE level.

Geometry as extended XYZ:
```
5
Lattice="-4.3273 -2.0557 0.9520 0.1392 -2.2899 -4.3122 2.2611 -3.7932 2.0873" Properties=species:S:1:pos:R:3 pbc="T T T"
Sn 0.0000 0.0000 0.0000
Sn -1.0331 -2.9245 1.5196
Sn 1.2002 -3.0415 -1.1125
Sn -2.0941 -2.1728 -1.6801
N -0.9635 -4.0694 -0.6365
```

* spin magnetization: 0.00 μB per atom
* raw formation energy: 0.397 eV per atom
* calculated volume: 116.5 Å³/cell


# 11
Below is crystalline Dy2Cd2Au at its relaxed geometry, with properties calculated at the PBE level.

Geometry as extended XYZ:
```
5
Lattice="3.4501 0.0000 0.0000 0.0000 3.4714 0.6577 0.0000 -0.1943 10.5150" Properties=species:S:1:pos:R:3 pbc="T T T"
Dy 1.7250 1.3913 2.1468
Dy 1.7250 1.8858 9.0260
Cd 0.0000 0.5537 6.5674
Cd 0.0000 2.7234 4.6054
Au 0.0000 0.0000 0.0000
```

* spin magnetization: 0.00 μB per atom
* DFT formation energy: -0.42 eV per atom
* calculated volume: 126.4 Å³/cell


# 12
Below is crystalline MgHgMo2S at its relaxed geometry, with properties calculated at the PBE level.

Geometry as extended XYZ:
```
5
Lattice="5.0019 0.0000 0.0000 0.0000 4.8445 0.0000 0.0000 0.0000 5.0019" Properties=species:S:1:pos:R:3 pbc="T T T"
S 2.5009 2.4223 2.5009
Mo 0.0000 0.0000 2.5009
Mo 2.5009 0.0000 0.0000
Mg 0.0000 0.0000 0.0000
Hg 0.0000 2.4223 0.0000
```

* spin magnetization: 1.27 μB per atom
* raw formation energy: 1.913 eV per atom
* calculated volume: 121.2 Å³/cell